Entry 1:
This record from Alexandria describes a PBEsol-optimized structure of Y2SnRuRh. The functional is meta-GGA SCAN.

a b c (Å): 5.5165 5.5165 4.6590
angles (deg): 90.00 90.00 90.00
Last column: nearest neighbours and their distance in Å.
Fractional coordinates of all 5 atoms:
Y: 0.0000 0.5000 0.0000  2 Sn 2.76
Y: 0.5000 0.0000 0.0000  2 Sn 2.76
Sn: 0.0000 0.0000 0.0000  2 Rh 2.33
Ru: 0.5000 0.5000 0.5000  8 Y 3.61, 4 Rh 3.90
Rh: 0.0000 0.0000 0.5000  2 Sn 2.33

Values from the calculation:
Spin magnetization (μB per formula unit): 1.6
Electronic total energy (hartree per atom): -1.1469
Energy of formation (eV/f.u.): 4.16



Entry 2:
This record from Alexandria describes a PBEsol-optimized structure of SrRuRh. The functional is meta-GGA SCAN.

a b c (Å): 6.3159 6.3159 6.3159
angles (deg): 90.00 90.00 90.00
Last column: nearest neighbours and their distance in Å.
Fractional coordinates of all 12 atoms:
Sr: 0.0000 0.0000 0.0000  4 Ru 2.73
Sr: 0.0000 0.5000 0.5000  4 Ru 2.73
Sr: 0.5000 0.0000 0.5000  4 Ru 2.73
Sr: 0.5000 0.5000 0.0000  4 Ru 2.73
Ru: 0.2500 0.2500 0.7500  4 Rh 2.73, 4 Sr 2.73
Ru: 0.2500 0.7500 0.2500  4 Rh 2.73, 4 Sr 2.73
Ru: 0.7500 0.2500 0.2500  4 Rh 2.73, 4 Sr 2.73
Ru: 0.7500 0.7500 0.7500  4 Sr 2.73, 4 Rh 2.73
Rh: 0.0000 0.0000 0.5000  4 Ru 2.73
Rh: 0.0000 0.5000 0.0000  4 Ru 2.73
Rh: 0.5000 0.0000 0.0000  4 Ru 2.73
Rh: 0.5000 0.5000 0.5000  4 Ru 2.73

Values from the calculation:
Spin magnetization (μB per formula unit): 2.3
Electronic total energy (hartree per atom): -1.0859
Energy of formation (eV/f.u.): 2.23



Entry 3:
This record from Alexandria describes a PBEsol-optimized structure of Sr2RuRh. The functional is meta-GGA SCAN.

a b c (Å): 4.2158 5.1122 9.4442
angles (deg): 90.00 90.00 90.00
Last column: nearest neighbours and their distance in Å.
Fractional coordinates of all 8 atoms:
Sr: 0.0000 0.0000 0.0000  4 Rh 3.18-3.53, 4 Sr 3.22-3.47, 4 Ru 3.44
Sr: 0.0000 0.5000 0.2076  2 Ru 3.15, 4 Sr 3.22-3.47, 4 Rh 3.43
Sr: 0.5000 0.0000 0.7076  2 Ru 3.15, 4 Sr 3.22-3.47, 4 Rh 3.43
Sr: 0.5000 0.5000 0.5000  4 Rh 3.18-3.53, 4 Sr 3.22-3.47, 4 Ru 3.44
Ru: 0.0000 0.0000 0.4023  2 Rh 2.32
Ru: 0.5000 0.5000 0.9023  2 Rh 2.32
Rh: 0.0000 0.5000 0.8000  2 Ru 2.32
Rh: 0.5000 0.0000 0.3000  2 Ru 2.32

Values from the calculation:
Spin magnetization (μB per formula unit): 0.0
Electronic total energy (hartree per atom): -1.0348
Energy of formation (eV/f.u.): 0.51



Entry 4:
This record from Alexandria describes a PBEsol-optimized structure of SrRuRh2. The functional is meta-GGA SCAN.

a b c (Å): 6.4428 6.4428 6.4428
angles (deg): 90.00 90.00 90.00
Last column: nearest neighbours and their distance in Å.
Fractional coordinates of all 16 atoms:
Sr: 0.0000 0.0000 0.0000  4 Ru 2.79, 4 Rh 2.79
Sr: 0.0000 0.5000 0.5000  4 Ru 2.79, 4 Rh 2.79
Sr: 0.5000 0.0000 0.5000  4 Ru 2.79, 4 Rh 2.79
Sr: 0.5000 0.5000 0.0000  4 Ru 2.79, 4 Rh 2.79
Ru: 0.2500 0.2500 0.2500  4 Rh 2.79, 4 Sr 2.79
Ru: 0.2500 0.7500 0.7500  4 Rh 2.79, 4 Sr 2.79
Ru: 0.7500 0.2500 0.7500  4 Rh 2.79, 4 Sr 2.79
Ru: 0.7500 0.7500 0.2500  4 Rh 2.79, 4 Sr 2.79
Rh: 0.0000 0.0000 0.5000  4 Ru 2.79, 4 Rh 2.79
Rh: 0.0000 0.5000 0.0000  4 Ru 2.79, 4 Rh 2.79
Rh: 0.2500 0.2500 0.7500  4 Rh 2.79, 4 Sr 2.79
Rh: 0.2500 0.7500 0.2500  4 Rh 2.79, 4 Sr 2.79
Rh: 0.5000 0.0000 0.0000  4 Ru 2.79, 4 Rh 2.79
Rh: 0.5000 0.5000 0.5000  4 Ru 2.79, 4 Rh 2.79
Rh: 0.7500 0.2500 0.2500  4 Rh 2.79, 4 Sr 2.79
Rh: 0.7500 0.7500 0.7500  4 Rh 2.79, 4 Sr 2.79

Values from the calculation:
Spin magnetization (μB per formula unit): 3.7
Electronic total energy (hartree per atom): -1.1234
Energy of formation (eV/f.u.): 2.36
E above lowest polymorph (meV/atom): 142



Entry 5:
This record from Alexandria describes a PBEsol-optimized structure of Sr4RuRh. The functional is meta-GGA SCAN.

a b c (Å): 6.1768 6.1768 6.1768
angles (deg): 60.00 60.00 60.00
Last column: nearest neighbours and their distance in Å.
Fractional coordinates of all 6 atoms:
Sr: 0.1252 0.1252 0.1252  6 Sr 3.08-3.09
Sr: 0.1252 0.1252 0.6245  6 Sr 3.08-3.09
Sr: 0.1252 0.6245 0.1252  6 Sr 3.08-3.09
Sr: 0.6245 0.1252 0.1252  6 Sr 3.08-3.09
Ru: 0.7500 0.7500 0.7500  12 Sr 3.62, 4 Rh 3.78
Rh: 0.5000 0.5000 0.5000  12 Sr 3.62, 4 Ru 3.78

Values from the calculation:
Spin magnetization (μB per formula unit): 1.0
Electronic total energy (hartree per atom): -0.9160
Energy of formation (eV/f.u.): 8.15



Entry 6:
This record from Alexandria describes a PBEsol-optimized structure of SrRuRh2. The functional is meta-GGA SCAN.

a b c (Å): 6.5036 6.5036 6.5036
angles (deg): 90.00 90.00 90.00
Last column: nearest neighbours and their distance in Å.
Fractional coordinates of all 16 atoms:
Sr: 0.0000 0.0000 0.0000  8 Rh 2.82
Sr: 0.0000 0.5000 0.5000  8 Rh 2.82
Sr: 0.5000 0.0000 0.5000  8 Rh 2.82
Sr: 0.5000 0.5000 0.0000  8 Rh 2.82
Ru: 0.0000 0.0000 0.5000  8 Rh 2.82
Ru: 0.0000 0.5000 0.0000  8 Rh 2.82
Ru: 0.5000 0.0000 0.0000  8 Rh 2.82
Ru: 0.5000 0.5000 0.5000  8 Rh 2.82
Rh: 0.2500 0.2500 0.2500  4 Ru 2.82, 4 Sr 2.82
Rh: 0.2500 0.2500 0.7500  4 Ru 2.82, 4 Sr 2.82
Rh: 0.2500 0.7500 0.2500  4 Ru 2.82, 4 Sr 2.82
Rh: 0.2500 0.7500 0.7500  4 Ru 2.82, 4 Sr 2.82
Rh: 0.7500 0.2500 0.2500  4 Ru 2.82, 4 Sr 2.82
Rh: 0.7500 0.2500 0.7500  4 Ru 2.82, 4 Sr 2.82
Rh: 0.7500 0.7500 0.2500  4 Ru 2.82, 4 Sr 2.82
Rh: 0.7500 0.7500 0.7500  4 Ru 2.82, 4 Sr 2.82

Values from the calculation:
Spin magnetization (μB per formula unit): 3.8
Electronic total energy (hartree per atom): -1.1286
Energy of formation (eV/f.u.): 1.80
E above lowest polymorph (meV/atom): 0



Entry 7:
This record from Alexandria describes a PBEsol-optimized structure of Ta2RuRh. The functional is meta-GGA SCAN.

a b c (Å): 4.1377 4.1377 7.2182
angles (deg): 90.00 90.00 90.00
Last column: nearest neighbours and their distance in Å.
Fractional coordinates of all 8 atoms:
Ta: 0.0000 0.5000 0.2500  4 Ru 2.75, 4 Rh 2.75, 4 Ta 2.93
Ta: 0.0000 0.5000 0.7500  4 Ru 2.75, 4 Rh 2.75, 4 Ta 2.93
Ta: 0.5000 0.0000 0.2500  4 Ru 2.75, 4 Rh 2.75, 4 Ta 2.93
Ta: 0.5000 0.0000 0.7500  4 Ru 2.75, 4 Rh 2.75, 4 Ta 2.93
Ru: 0.0000 0.0000 0.0000  8 Ta 2.75, 4 Rh 2.93
Ru: 0.5000 0.5000 0.5000  8 Ta 2.75, 4 Rh 2.93
Rh: 0.0000 0.0000 0.5000  8 Ta 2.75, 4 Ru 2.93
Rh: 0.5000 0.5000 0.0000  8 Ta 2.75, 4 Ru 2.93

Values from the calculation:
Spin magnetization (μB per formula unit): 0.0
Electronic total energy (hartree per atom): -1.8696
Energy of formation (eV/f.u.): -1.73



Entry 8:
This record from Alexandria describes a PBEsol-optimized structure of Ta2RuRh. The functional is meta-GGA SCAN.

a b c (Å): 2.9465 3.6082 5.8151
angles (deg): 90.00 90.00 90.00
Last column: nearest neighbours and their distance in Å.
Fractional coordinates of all 4 atoms:
Ta: 0.0000 0.0000 0.2469  4 Ru 2.74, 4 Rh 2.76, 4 Ta 2.87-2.95
Ta: 0.0000 0.0000 0.7531  4 Ru 2.74, 4 Rh 2.76, 4 Ta 2.87-2.95
Ru: 0.5000 0.5000 0.0000  8 Ta 2.74, 2 Rh 2.91, 2 Ru 2.95
Rh: 0.5000 0.5000 0.5000  8 Ta 2.76, 2 Ru 2.91, 2 Rh 2.95

Values from the calculation:
Spin magnetization (μB per formula unit): 0.0
Electronic total energy (hartree per atom): -1.8693
Energy of formation (eV/f.u.): -1.70



Entry 9:
This record from Alexandria describes a PBEsol-optimized structure of Ta2RuRh. The functional is meta-GGA SCAN.

a b c (Å): 5.8242 7.2301 2.9345
angles (deg): 90.00 90.00 90.00
Last column: nearest neighbours and their distance in Å.
Fractional coordinates of all 8 atoms:
Ta: 0.2500 0.2500 0.0000  4 Ru 2.75, 4 Rh 2.75, 4 Ta 2.91-2.93
Ta: 0.2500 0.7500 0.0000  4 Ru 2.75, 4 Rh 2.75, 4 Ta 2.91-2.93
Ta: 0.7500 0.2500 0.0000  4 Ru 2.75, 4 Rh 2.75, 4 Ta 2.91-2.93
Ta: 0.7500 0.7500 0.0000  4 Ru 2.75, 4 Rh 2.75, 4 Ta 2.91-2.93
Ru: 0.0000 0.0000 0.5000  8 Ta 2.75, 2 Rh 2.91, 2 Ru 2.93
Ru: 0.5000 0.5000 0.5000  8 Ta 2.75, 2 Rh 2.91, 2 Ru 2.93
Rh: 0.0000 0.5000 0.5000  8 Ta 2.75, 2 Ru 2.91, 2 Rh 2.93
Rh: 0.5000 0.0000 0.5000  8 Ta 2.75, 2 Ru 2.91, 2 Rh 2.93

Values from the calculation:
Spin magnetization (μB per formula unit): 0.0
Electronic total energy (hartree per atom): -1.8693
Energy of formation (eV/f.u.): -1.71



Entry 10:
This record from Alexandria describes a PBEsol-optimized structure of TaRuRh. The functional is meta-GGA SCAN.

a b c (Å): 3.1110 3.1110 9.4452
angles (deg): 90.00 90.00 90.00
Last column: nearest neighbours and their distance in Å.
Fractional coordinates of all 6 atoms:
Ta: 0.0000 0.0000 0.0000  4 Ru 2.61, 4 Rh 2.65
Ta: 0.5000 0.5000 0.5000  4 Ru 2.61, 4 Rh 2.65
Ru: 0.0000 0.0000 0.3512  4 Ta 2.61, 5 Rh 2.87-2.88
Ru: 0.5000 0.5000 0.8512  4 Ta 2.61, 5 Rh 2.87-2.88
Rh: 0.0000 0.0000 0.6566  4 Ta 2.65, 5 Ru 2.87-2.88
Rh: 0.5000 0.5000 0.1566  4 Ta 2.65, 5 Ru 2.87-2.88

Values from the calculation:
Spin magnetization (μB per formula unit): 0.0
Electronic total energy (hartree per atom): -1.6656
Energy of formation (eV/f.u.): -0.79
E above lowest polymorph (meV/atom): 0



Entry 11:
This record from Alexandria describes a PBEsol-optimized structure of Ta2RuRh. The functional is meta-GGA SCAN.

a b c (Å): 2.9287 2.9287 7.2172
angles (deg): 90.00 90.00 90.00
Last column: nearest neighbours and their distance in Å.
Fractional coordinates of all 4 atoms:
Ta: 0.0000 0.0000 0.2425  4 Ru 2.71, 4 Rh 2.78, 4 Ta 2.93
Ta: 0.0000 0.0000 0.7575  4 Ru 2.71, 4 Rh 2.78, 4 Ta 2.93
Ru: 0.5000 0.5000 0.0000  8 Ta 2.71, 4 Ru 2.93
Rh: 0.5000 0.5000 0.5000  8 Ta 2.78, 4 Rh 2.93

Values from the calculation:
Spin magnetization (μB per formula unit): 0.0
Electronic total energy (hartree per atom): -1.8695
Energy of formation (eV/f.u.): -1.72



Entry 12:
This record from Alexandria describes a PBEsol-optimized structure of TaRuRh. The functional is meta-GGA SCAN.

a b c (Å): 5.9288 5.9288 5.9288
angles (deg): 90.00 90.00 90.00
Last column: nearest neighbours and their distance in Å.
Fractional coordinates of all 12 atoms:
Ta: 0.0000 0.0000 0.0000  4 Rh 2.57
Ta: 0.0000 0.5000 0.5000  4 Rh 2.57
Ta: 0.5000 0.0000 0.5000  4 Rh 2.57
Ta: 0.5000 0.5000 0.0000  4 Rh 2.57
Ru: 0.0000 0.0000 0.5000  4 Rh 2.57
Ru: 0.0000 0.5000 0.0000  4 Rh 2.57
Ru: 0.5000 0.0000 0.0000  4 Rh 2.57
Ru: 0.5000 0.5000 0.5000  4 Rh 2.57
Rh: 0.2500 0.2500 0.7500  4 Ta 2.57, 4 Ru 2.57
Rh: 0.2500 0.7500 0.2500  4 Ta 2.57, 4 Ru 2.57
Rh: 0.7500 0.2500 0.2500  4 Ta 2.57, 4 Ru 2.57
Rh: 0.7500 0.7500 0.7500  4 Ta 2.57, 4 Ru 2.57

Values from the calculation:
Spin magnetization (μB per formula unit): 0.0
Electronic total energy (hartree per atom): -1.6422
Energy of formation (eV/f.u.): 1.12
E above lowest polymorph (meV/atom): 638